MoH2O4 | GGA+U | optimized geometry

a b c (Å): 3.9535 5.5217 8.7775
angles (deg): 75.56 89.07 69.17
Last column: nearest neighbours and their distance in Å.
Fractional positions:
Mo 0.1526 0.1046 0.2364  2 O 1.71-1.80
Mo 0.8474 0.8954 0.7636  2 O 1.71-1.80
H 0.2226 0.5133 0.3228  1 O 1.02
H 0.3296 0.3825 0.6796  1 O 1.02
H 0.6704 0.6175 0.3204  1 O 1.02
H 0.7774 0.4867 0.6772  1 O 1.02
O 0.0635 0.4011 0.3280  1 H 1.02
O 0.1560 0.2028 0.0361  1 Mo 1.71
O 0.2906 0.9108 0.7315  1 Mo 1.80
O 0.4004 0.7238 0.3188  1 H 1.02
O 0.5996 0.2762 0.6812  1 H 1.02
O 0.7094 0.0892 0.2685  1 Mo 1.80
O 0.8440 0.7972 0.9639  1 Mo 1.71
O 0.9365 0.5989 0.6720  1 H 1.02

## Properties
The value obtained for the density is 3.111 Mg/m³. The value obtained for the density of states at the Fermi level is 0.000 states/eV per atom. The calculated total energy is -0.4470 Ry per atom.